No. 1
Entry from the Alexandria database: a PBEsol-optimized structure of ZrTe2H2 (meta-GGA SCAN).

Results
Magnetization   0.0 μB per cell
Energy   -22.258 eV/atom

a = 3.521 Å, b = 3.521 Å, c = 6.940 Å
α = 104.69°, β = 104.69°, γ = 90.00°
Atoms (fractional coordinates):
Te1 0.368 0.368 0.736
Te2 0.632 0.632 0.264
H1 0.250 0.750 0.500
H2 0.750 0.250 0.500
Zr1 0.000 0.000 0.000

---

No. 2
Entry from the Alexandria database: a PBEsol-optimized structure of RbF3 (meta-GGA SCAN).

Results
Magnetization   0.4 μB per cell
Uncorrected formation energy   -1530 meV/atom

a = 4.472 Å, b = 6.906 Å, c = 9.271 Å
α = 90.00°, β = 90.00°, γ = 90.00°
Atoms (fractional coordinates):
F1 0.695 0.555 0.371
F2 0.580 0.221 0.168
F3 0.080 0.279 0.832
F4 0.805 0.445 0.871
F5 0.305 0.055 0.129
Rb1 0.621 0.015 0.873
Rb2 0.879 0.985 0.373
F6 0.539 0.611 0.917
Rb3 0.379 0.515 0.627
F7 0.039 0.889 0.083
Rb4 0.121 0.485 0.127
F8 0.195 0.945 0.629
F9 0.461 0.111 0.583
F10 0.961 0.389 0.417
F11 0.420 0.721 0.332
F12 0.920 0.779 0.668

---

What is the formula in the first record? ZrTe2H2